ScHCl | GGA-PBE | relaxed

The structure belongs to space group I4mm (No. 107); the cell edges are 3.093, 3.093 and 9.004 Å and the angles 90.00°, 90.00° and 90.00°. The inequivalent atoms are Sc at (0.000, 0.000, 0.000), H at (0.000, 0.000, 0.572) and Cl at (0.000, 0.000, 0.300).

For the uncorrected energy, the calculation gives -14.12 eV/f.u. The value obtained for the magnetization is 0.00 μB/f.u.